Entry 1:
VASP calculation (PBE-GGA) on a relaxed Sr3SnPb3S8 crystal.

Cell lengths 8.461, 8.461, 8.461 Å; angles 60.16, 60.16, 60.16 degrees
Element x y z (fractional)
Sr: 0.000 0.500 0.500
Sr: 0.500 0.000 0.500
Sr: 0.500 0.500 0.000
Sn: 0.000 0.000 0.000
Pb: 0.000 0.000 0.500
Pb: 0.000 0.500 0.000
Pb: 0.500 0.000 0.000
S: 0.220 0.220 0.780
S: 0.220 0.780 0.220
S: 0.220 0.780 0.780
S: 0.252 0.252 0.252
S: 0.748 0.748 0.748
S: 0.780 0.220 0.220
S: 0.780 0.220 0.780
S: 0.780 0.780 0.220

Calculated values
Raw formation energy ... -1135.7 meV per atom

Entry 2:
VASP calculation (PBE-GGA) on a relaxed CsK2Rb crystal.

Cell lengths 9.930, 9.930, 9.930 Å; angles 102.90, 102.90, 123.61 degrees
Element x y z (fractional)
Cs: 0.000 0.000 0.000
Cs: 0.750 0.250 0.500
K: 0.137 0.625 0.012
K: 0.375 0.387 0.512
K: 0.613 0.125 0.988
K: 0.875 0.863 0.488
Rb: 0.250 0.750 0.500
Rb: 0.500 0.500 0.000

Calculated values
ΔH_f (0 K) ... 1.5 kcal/mol of atoms

Entry 3:
VASP calculation (PBE-GGA) on a relaxed In4GaHg5 crystal.

Cell lengths 7.301, 7.301, 7.301 Å; angles 99.82, 99.82, 131.22 degrees
Element x y z (fractional)
In: 0.073 0.687 0.760
In: 0.313 0.073 0.386
In: 0.687 0.927 0.614
In: 0.927 0.313 0.240
Ga: 0.301 0.301 0.000
Hg: 0.238 0.395 0.637
Hg: 0.395 0.758 0.157
Hg: 0.601 0.238 0.843
Hg: 0.758 0.601 0.363
Hg: 0.828 0.828 0.000

Calculated values
ΔH_f (0 K) ... 0.8 kcal/mol of atoms

Entry 4:
VASP calculation (PBE-GGA) on a relaxed Li2TcNi crystal.

Cell lengths 5.137, 5.137, 5.137 Å; angles 151.18, 127.85, 60.68 degrees
Element x y z (fractional)
Li: 0.000 0.000 0.000
Li: 0.749 0.249 0.500
Tc: 0.274 0.774 0.500
Ni: 0.512 0.512 0.000

Calculated values
ΔH_f (0 K) ... 6.9 kcal/mol of atoms

Entry 5:
VASP calculation (PBE-GGA) on a relaxed KSrSe crystal.

Cell lengths 4.568, 4.568, 7.811 Å; angles 90.00, 90.00, 120.00 degrees
Element x y z (fractional)
K: 0.000 0.000 0.000
Sr: 0.333 0.667 0.454
Se: 0.667 0.333 0.267

Calculated values
Raw formation energy ... -1161.1 meV per atom

Entry 6:
VASP calculation (PBE-GGA) on a relaxed MgMnAg2 crystal.

Cell lengths 5.110, 5.110, 4.772 Å; angles 103.62, 103.62, 35.66 degrees
Element x y z (fractional)
Mg: 0.000 0.000 0.000
Mn: 0.757 0.757 0.305
Ag: 0.251 0.251 0.798
Ag: 0.500 0.500 0.497

Calculated values
ΔH_f (0 K) ... 1.9 kcal/mol of atoms

Entry 7:
VASP calculation (PBE-GGA) on a relaxed HfAl2Ga crystal.

Cell lengths 5.932, 5.932, 5.932 Å; angles 102.33, 102.33, 124.94 degrees
Element x y z (fractional)
Hf: 0.000 0.000 0.000
Hf: 0.750 0.250 0.500
Al: 0.162 0.125 0.537
Al: 0.375 0.838 0.963
Al: 0.588 0.625 0.463
Al: 0.875 0.412 0.037
Ga: 0.250 0.750 0.500
Ga: 0.500 0.500 0.000

Calculated values
ΔH_f (0 K) ... 0.2 kcal/mol of atoms

Entry 8:
VASP calculation (PBE-GGA) on a relaxed Tm5In2Tc crystal.

Cell lengths 6.528, 12.505, 4.949 Å; angles 90.00, 90.00, 90.00 degrees
Element x y z (fractional)
Tm: 0.000 0.000 0.000
Tm: 0.108 0.282 0.000
Tm: 0.167 0.597 0.500
Tm: 0.333 0.097 0.500
Tm: 0.392 0.782 0.000
Tm: 0.500 0.500 0.000
Tm: 0.608 0.218 0.000
Tm: 0.667 0.903 0.500
Tm: 0.833 0.403 0.500
Tm: 0.892 0.718 0.000
In: 0.140 0.853 0.500
In: 0.360 0.353 0.500
In: 0.640 0.647 0.500
In: 0.860 0.147 0.500
Tc: 0.000 0.500 0.000
Tc: 0.500 0.000 0.000

Calculated values
ΔH_f (0 K) ... -6.7 kcal/mol of atoms

Entry 9:
VASP calculation (PBE-GGA) on a relaxed CdAg2Hg crystal.

Cell lengths 5.371, 5.371, 5.371 Å; angles 134.72, 132.95, 67.36 degrees
Element x y z (fractional)
Cd: 0.000 0.000 0.000
Ag: 0.502 0.502 0.000
Ag: 0.750 0.250 0.500
Hg: 0.252 0.752 0.500

Calculated values
ΔH_f (0 K) ... 0.2 kcal/mol of atoms

Entry 10:
VASP calculation (PBE-GGA) on a relaxed CaHfPtRh crystal.

Cell lengths 4.734, 4.734, 4.734 Å; angles 60.00, 60.00, 60.00 degrees
Element x y z (fractional)
Ca: 0.000 0.000 0.000
Hf: 0.500 0.500 0.500
Pt: 0.750 0.750 0.750
Rh: 0.250 0.250 0.250

Calculated values
ΔH_f (0 K) ... -17.2 kcal/mol of atoms

Entry 11:
VASP calculation (PBE-GGA) on a relaxed SrSnPS2 crystal.

Cell lengths 5.461, 5.461, 5.503 Å; angles 90.00, 90.00, 90.00 degrees
Element x y z (fractional)
Sr: 0.000 0.000 0.000
Sn: 0.500 0.500 0.500
P: 0.000 0.000 0.500
S: 0.000 0.500 0.000
S: 0.500 0.000 0.000

Calculated values
Raw formation energy ... 457.3 meV per atom

Entry 12:
VASP calculation (PBE-GGA) on a relaxed Cs12Tl crystal.

Cell lengths 11.984, 11.984, 11.984 Å; angles 109.47, 109.47, 109.47 degrees
Element x y z (fractional)
Cs: 0.128 0.301 0.826
Cs: 0.174 0.475 0.301
Cs: 0.174 0.872 0.699
Cs: 0.301 0.174 0.475
Cs: 0.301 0.826 0.128
Cs: 0.475 0.301 0.174
Cs: 0.525 0.699 0.826
Cs: 0.699 0.174 0.872
Cs: 0.699 0.826 0.525
Cs: 0.826 0.128 0.301
Cs: 0.826 0.525 0.699
Cs: 0.872 0.699 0.174
Tl: 0.000 0.000 0.000

Calculated values
ΔH_f (0 K) ... 0.8 kcal/mol of atoms

Entry 13:
VASP calculation (PBE-GGA) on a relaxed Pm3Y8Ho crystal.

Cell lengths 8.706, 8.706, 8.706 Å; angles 135.98, 99.21, 96.94 degrees
Element x y z (fractional)
Pm: 0.000 0.000 0.000
Pm: 0.253 0.753 0.500
Pm: 0.747 0.247 0.500
Y: 0.083 0.250 0.833
Y: 0.255 0.248 0.503
Y: 0.255 0.752 0.008
Y: 0.418 0.250 0.167
Y: 0.582 0.750 0.833
Y: 0.745 0.248 0.992
Y: 0.745 0.752 0.497
Y: 0.917 0.750 0.167
Ho: 0.500 0.500 0.000

Calculated values
ΔH_f (0 K) ... 7.2 kcal/mol of atoms

Entry 14:
VASP calculation (PBE-GGA) on a relaxed Cs4AuBrCl2 crystal.

Cell lengths 8.873, 8.873, 8.873 Å; angles 131.86, 131.86, 70.46 degrees
Element x y z (fractional)
Cs: 0.000 0.500 0.500
Cs: 0.249 0.249 0.000
Cs: 0.500 0.000 0.500
Cs: 0.751 0.751 0.000
Au: 0.500 0.500 0.000
Br: 0.000 0.000 0.000
Cl: 0.250 0.750 0.500
Cl: 0.750 0.250 0.500

Calculated values
Raw formation energy ... -1504.4 meV per atom

Entry 15:
VASP calculation (PBE-GGA) on a relaxed LiCa6Pd5 crystal.

Cell lengths 7.981, 7.981, 7.198 Å; angles 90.00, 90.00, 143.36 degrees
Element x y z (fractional)
Li: 0.000 0.000 0.000
Ca: 0.172 0.828 0.256
Ca: 0.172 0.828 0.744
Ca: 0.500 0.500 0.265
Ca: 0.500 0.500 0.735
Ca: 0.828 0.172 0.256
Ca: 0.828 0.172 0.744
Pd: 0.000 0.000 0.500
Pd: 0.334 0.666 0.500
Pd: 0.343 0.657 0.000
Pd: 0.657 0.343 0.000
Pd: 0.666 0.334 0.500

Calculated values
ΔH_f (0 K) ... -13.4 kcal/mol of atoms

Entry 16:
VASP calculation (PBE-GGA) on a relaxed Li6Zn3Cd2 crystal.

Cell lengths 8.459, 8.459, 2.881 Å; angles 90.00, 90.00, 102.43 degrees
Element x y z (fractional)
Li: 0.135 0.432 0.000
Li: 0.163 0.837 0.000
Li: 0.432 0.135 0.000
Li: 0.568 0.865 0.000
Li: 0.837 0.163 0.000
Li: 0.865 0.568 0.000
Zn: 0.332 0.668 0.500
Zn: 0.500 0.500 0.000
Zn: 0.668 0.332 0.500
Cd: 0.143 0.143 0.500
Cd: 0.857 0.857 0.500

Calculated values
ΔH_f (0 K) ... -1.9 kcal/mol of atoms

Entry 17:
VASP calculation (PBE-GGA) on a relaxed Th2Bi4Au crystal.

Cell lengths 8.655, 8.655, 6.515 Å; angles 111.53, 111.53, 31.08 degrees
Element x y z (fractional)
Th: 0.203 0.203 0.160
Th: 0.797 0.797 0.840
Bi: 0.156 0.156 0.594
Bi: 0.438 0.438 0.188
Bi: 0.562 0.562 0.812
Bi: 0.844 0.844 0.406
Au: 0.000 0.000 0.000

Calculated values
ΔH_f (0 K) ... -5.1 kcal/mol of atoms